Entry 1:
DFT (PBE-GGA) results for a geometry-optimized CsCaSb structure.

## Properties
The value obtained for the uncorrected formation energy is -0.76 eV per atom.

Lattice parameters (Å, degrees): 9.713 5.529 9.097 90.00 90.00 90.00
Element x y z (fractional)
Cs1 0.998 0.250 0.844
Cs2 0.502 0.750 0.344
Cs3 0.002 0.750 0.156
Cs4 0.498 0.250 0.656
Sb1 0.187 0.250 0.387
Sb2 0.313 0.750 0.887
Sb3 0.813 0.750 0.613
Sb4 0.687 0.250 0.113
Ca1 0.859 0.250 0.426
Ca2 0.641 0.750 0.926
Ca3 0.141 0.750 0.574
Ca4 0.359 0.250 0.074



Entry 2:
DFT (PBE-GGA) results for a geometry-optimized Cs2CaSb structure.

## Properties
The value obtained for the uncorrected formation energy is -0.02 eV per atom.

Lattice parameters (Å, degrees): 4.986 4.986 14.685 80.23 80.23 90.00
Element x y z (fractional)
Cs1 0.629 0.125 0.250
Cs2 0.121 0.625 0.250
Cs3 0.375 0.371 0.750
Cs4 0.875 0.879 0.750
Sb1 0.000 0.000 0.000
Sb2 0.750 0.250 0.500
Ca1 0.500 0.500 0.000
Ca2 0.250 0.750 0.500



Short version: E = -9.24 -7.90 eV per formula unit, in the order given.